HfTeN3 | GGA-PBE | optimized geometry

Lattice parameters (Å, degrees): 4.1818 4.1818 4.1818 90.00 90.00 90.00
With the nearest neighbours (Å) after each atom.
Positions (direct):
1 Te 0.5000 0.5000 0.5000  12 N 2.96
2 Hf 0.0000 0.0000 0.0000  6 N 2.09
3 N 0.0000 0.5000 0.0000  2 Hf 2.09
4 N 0.0000 0.0000 0.5000  2 Hf 2.09
5 N 0.5000 0.0000 0.0000  2 Hf 2.09

Computed properties:
Formation energy without anion corrections   0.7269 eV per atom
SG   Pm-3m, No. 221

CaPm2AgO5 | GGA-PBE | optimized geometry

Lattice parameters (Å, degrees): 6.0476 6.6625 6.6625 90.00 90.00 90.00
With the nearest neighbours (Å) after each atom.
Positions (direct):
1 Ca 0.0000 0.5000 0.5000  10 O 2.95-3.02
2 Ca 0.0000 0.0000 0.0000  10 O 2.95-3.02
3 Pm 0.5000 0.6707 0.1707  4 O 2.25-2.47
4 Pm 0.5000 0.1707 0.3293  4 O 2.25-2.47
5 Pm 0.5000 0.8293 0.6707  4 O 2.25-2.47
6 Pm 0.5000 0.3293 0.8293  4 O 2.25-2.47
7 Ag 0.0000 0.0000 0.5000  4 O 2.09
8 Ag 0.0000 0.5000 0.0000  4 O 2.09
9 O 0.5000 0.5000 0.5000  4 Pm 2.47
10 O 0.5000 0.0000 0.0000  4 Pm 2.47
11 O 0.2505 0.1529 0.6529  1 Ag 2.09, 1 Pm 2.25
12 O 0.2505 0.8471 0.3471  1 Ag 2.09, 1 Pm 2.25
13 O 0.2505 0.3471 0.1529  1 Ag 2.09, 1 Pm 2.25
14 O 0.2505 0.6529 0.8471  1 Ag 2.09, 1 Pm 2.25
15 O 0.7495 0.1529 0.6529  1 Ag 2.09, 1 Pm 2.25
16 O 0.7495 0.6529 0.8471  1 Ag 2.09, 1 Pm 2.25
17 O 0.7495 0.8471 0.3471  1 Ag 2.09, 1 Pm 2.25
18 O 0.7495 0.3471 0.1529  1 Ag 2.09, 1 Pm 2.25

Computed properties:
Formation energy without anion corrections   -2.3313 eV per atom
SG   P4/mbm, No. 127

MnSnIrRuPt | GGA-PBE | optimized geometry

Lattice parameters (Å, degrees): 4.4953 4.4015 5.6619 67.20 58.94 60.73
With the nearest neighbours (Å) after each atom.
Positions (direct):
1 Mn 0.0301 0.1206 0.4969  3 Ir 2.62-2.69, 2 Ru 2.63-2.68, 3 Pt 2.67-2.70
2 Sn 0.9324 0.8745 0.0868  3 Ru 2.56-2.74, 2 Ir 2.65-2.70, 3 Pt 2.85-2.86
3 Ir 0.5977 0.7647 0.6406  3 Mn 2.62-2.69, 2 Ru 2.62, 2 Sn 2.65-2.70, 2 Pt 2.88
4 Ru 0.3860 0.2231 0.9366  3 Sn 2.56-2.74, 2 Ir 2.62, 2 Mn 2.63-2.68
5 Pt 0.4510 0.4867 0.3437  3 Mn 2.67-2.70, 3 Sn 2.85-2.86, 2 Ir 2.88

Computed properties:
Energy of formation from the pure elements   0.027 eV/atom
E above lowest polymorph   118 meV/atom
SG   Cm, No. 8

NaCaBe2F8 | GGA-PBE | optimized geometry

Lattice parameters (Å, degrees): 5.3994 5.3994 6.4378 65.21 65.21 60.00
With the nearest neighbours (Å) after each atom.
Positions (direct):
1 Na 0.5000 0.5000 0.5000  6 F 2.49
2 Ca 0.0000 0.0000 0.0000  8 F 2.42-2.48
3 Be 0.2385 0.2385 0.2844  4 F 1.55-1.56
4 Be 0.7615 0.7615 0.7156  4 F 1.55-1.56
5 F 0.1469 0.1469 0.5593  1 Be 1.55
6 F 0.5191 0.3092 0.1992  1 Be 1.56
7 F 0.8531 0.8531 0.4407  1 Be 1.55
8 F 0.9725 0.5191 0.1992  1 Be 1.56
9 F 0.0275 0.4809 0.8008  1 Be 1.56
10 F 0.3092 0.9725 0.1992  1 Be 1.56
11 F 0.6908 0.0275 0.8008  1 Be 1.56
12 F 0.4809 0.6908 0.8008  1 Be 1.56

Computed properties:
Formation energy without anion corrections   -3.0166 eV per atom
SG   R-3, No. 148

PmPuGeRu | GGA-PBE | optimized geometry

Lattice parameters (Å, degrees): 4.9927 4.9927 4.9927 60.00 60.00 60.00
With the nearest neighbours (Å) after each atom.
Positions (direct):
1 Ru 0.5000 0.5000 0.5000  4 Pu 3.06, 4 Pm 3.06
2 Ge 0.0000 0.0000 0.0000  4 Pu 3.06, 4 Pm 3.06
3 Pm 0.7500 0.7500 0.7500  4 Ge 3.06, 4 Ru 3.06
4 Pu 0.2500 0.2500 0.2500  4 Ge 3.06, 4 Ru 3.06

Computed properties:
Energy of formation from the pure elements   -0.213 eV/atom
SG   F-43m, No. 216

NdTi2N | GGA-PBE | optimized geometry

Lattice parameters (Å, degrees): 3.1118 3.1118 8.5807 79.55 79.55 60.00
With the nearest neighbours (Å) after each atom.
Positions (direct):
1 N 0.5000 0.5000 0.5000  6 Ti 2.10
2 Nd 0.0000 0.0000 0.0000  6 Nd 3.11, 2 Ti 3.11
3 Ti 0.1237 0.1237 0.6289  3 N 2.10
4 Ti 0.8763 0.8763 0.3711  3 N 2.10

Computed properties:
Formation energy without anion corrections   -0.6397 eV per atom
SG   R-3m, No. 166

ReMoRu | GGA-PBE | optimized geometry

Lattice parameters (Å, degrees): 6.2794 6.2794 2.7443 77.38 77.38 25.24
With the nearest neighbours (Å) after each atom.
Positions (direct):
1 Mo 0.0035 0.0035 0.9965  4 Mo 2.74, 4 Ru 2.80, 4 Re 2.89
2 Re 0.3238 0.3238 0.6762  4 Ru 2.65, 4 Re 2.74, 4 Mo 2.89
3 Ru 0.6727 0.6727 0.3273  4 Re 2.65, 4 Ru 2.74, 4 Mo 2.80

Computed properties:
Energy of formation from the pure elements   0.041 eV/atom
E above lowest polymorph   0 meV/atom
SG   I4mm, No. 107

GeMo2H | GGA-PBE | optimized geometry

Lattice parameters (Å, degrees): 2.8111 2.8111 8.1856 80.11 80.11 60.00
With the nearest neighbours (Å) after each atom.
Positions (direct):
1 H 0.0000 0.0000 0.0000  2 Mo 1.78
2 Mo 0.0740 0.0740 0.7779  1 H 1.78
3 Mo 0.9260 0.9260 0.2221  1 H 1.78
4 Ge 0.5000 0.5000 0.5000  6 Mo 2.76, 6 Ge 2.81

Computed properties:
E above lowest polymorph   436 meV/atom
SG   R-3m, No. 166

LiCrAg2 | GGA-PBE | optimized geometry

Lattice parameters (Å, degrees): 4.5778 4.5778 4.5778 60.00 60.00 60.00
With the nearest neighbours (Å) after each atom.
Positions (direct):
1 Ag 0.0000 0.0000 0.0000  4 Li 2.80, 4 Ag 2.80
2 Ag 0.2500 0.2500 0.2500  4 Cr 2.80, 4 Ag 2.80
3 Cr 0.5000 0.5000 0.5000  4 Li 2.80, 4 Ag 2.80
4 Li 0.7500 0.7500 0.7500  4 Cr 2.80, 4 Ag 2.80

Computed properties:
Energy of formation from the pure elements   0.233 eV/atom
E above lowest polymorph   77 meV/atom
SG   F-43m, No. 216

BaAuS4 | GGA-PBE | optimized geometry

Lattice parameters (Å, degrees): 6.0213 6.3853 9.1166 110.50 100.74 90.00
With the nearest neighbours (Å) after each atom.
Positions (direct):
1 Ba 0.2197 0.1914 0.3828  8 S 3.23-3.45
2 Ba 0.7803 0.8086 0.6172  8 S 3.23-3.45
3 Au 0.9032 0.4190 0.8381  3 S 2.35-2.51
4 Au 0.0968 0.5810 0.1619  3 S 2.35-2.51
5 S 0.7713 0.2798 0.5595  1 Au 2.35
6 S 0.6041 0.2293 0.1554  1 S 1.94
7 S 0.0000 0.1717 0.0000  1 S 2.19
8 S 0.3959 0.0739 0.8446  1 S 1.94
9 S 0.2287 0.7202 0.4405  1 Au 2.35
10 S 0.3959 0.7707 0.8446  1 S 1.94
11 S 0.0000 0.8283 0.0000  1 S 2.19
12 S 0.6041 0.9261 0.1554  1 S 1.94

Computed properties:
Formation energy without anion corrections   -0.5440 eV per atom
SG   C2/m, No. 12

NaErPbBr6 | GGA-PBE | optimized geometry

Lattice parameters (Å, degrees): 7.3737 7.3737 13.0843 90.00 90.00 120.00
With the nearest neighbours (Å) after each atom.
Positions (direct):
1 Na 0.3333 0.6667 0.2500  6 Br 2.97
2 Na 0.6667 0.3333 0.7500  6 Br 2.97
3 Er 0.6667 0.3333 0.2500  6 Br 2.79
4 Er 0.3333 0.6667 0.7500  6 Br 2.79
5 Pb 0.0000 0.0000 0.0000  6 Br 3.08
6 Pb 0.0000 0.0000 0.5000  6 Br 3.08
7 Br 0.6602 0.6409 0.1281  1 Er 2.79, 1 Na 2.97, 1 Pb 3.08
8 Br 0.9807 0.3398 0.1281  1 Er 2.79, 1 Na 2.97, 1 Pb 3.08
9 Br 0.3398 0.9807 0.6281  1 Er 2.79, 1 Na 2.97, 1 Pb 3.08
10 Br 0.0193 0.6602 0.8719  1 Er 2.79, 1 Na 2.97, 1 Pb 3.08
11 Br 0.3591 0.3398 0.3719  1 Er 2.79, 1 Na 2.97, 1 Pb 3.08
12 Br 0.9807 0.6409 0.3719  1 Er 2.79, 1 Na 2.97, 1 Pb 3.08
13 Br 0.6409 0.9807 0.8719  1 Er 2.79, 1 Na 2.97, 1 Pb 3.08
14 Br 0.6602 0.0193 0.3719  1 Er 2.79, 1 Na 2.97, 1 Pb 3.08
15 Br 0.0193 0.3591 0.6281  1 Er 2.79, 1 Na 2.97, 1 Pb 3.08
16 Br 0.3591 0.0193 0.1281  1 Er 2.79, 1 Na 2.97, 1 Pb 3.08
17 Br 0.6409 0.6602 0.6281  1 Er 2.79, 1 Na 2.97, 1 Pb 3.08
18 Br 0.3398 0.3591 0.8719  1 Er 2.79, 1 Na 2.97, 1 Pb 3.08

Computed properties:
Formation energy without anion corrections   -1.4673 eV per atom
SG   P-31c, No. 163

Cr2AgPtRh | GGA-PBE | optimized geometry

Lattice parameters (Å, degrees): 4.5899 4.9672 4.5899 90.00 90.00 90.00
With the nearest neighbours (Å) after each atom.
Positions (direct):
1 Cr 0.0000 0.0000 0.5000  2 Rh 2.29
2 Cr 0.5000 0.0000 0.0000  2 Rh 2.29
3 Rh 0.0000 0.0000 0.0000  4 Cr 2.29, 2 Pt 2.48
4 Ag 0.5000 0.5000 0.5000  4 Pt 3.25, 8 Cr 3.38
5 Pt 0.0000 0.5000 0.0000  2 Rh 2.48

Computed properties:
Energy of formation from the pure elements   1.093 eV/atom
SG   P4/mmm, No. 123

Li7Zn5Sn | GGA-PBE | optimized geometry

Lattice parameters (Å, degrees): 5.0576 7.0608 7.0608 80.33 69.01 69.01
With the nearest neighbours (Å) after each atom.
Positions (direct):
1 Li 0.5347 0.4653 0.4653  9 Li 3.14-3.27, 6 Zn 3.16-3.51
2 Li 0.2050 0.7950 0.7950  6 Zn 2.66-2.82, 1 Sn 2.85
3 Li 0.0346 0.2553 0.6755  5 Zn 2.69-2.74, 3 Li 2.82-2.84, 1 Sn 2.91
4 Li 0.0346 0.6755 0.2553  5 Zn 2.69-2.74, 3 Li 2.82-2.84, 1 Sn 2.91
5 Li 0.2523 0.2477 0.2477  4 Zn 2.66, 2 Li 2.82, 2 Sn 2.93
6 Li 0.5334 0.8191 0.1142  4 Li 2.69-3.00, 4 Zn 2.83-2.88
7 Li 0.5334 0.1142 0.8191  4 Li 2.69-3.00, 4 Zn 2.83-2.88
8 Zn 0.5317 0.9623 0.4731  3 Zn 2.52-2.61, 4 Li 2.66-2.74
9 Zn 0.0328 0.9623 0.4731  3 Zn 2.52-2.61, 4 Li 2.66-2.74
10 Zn 0.5317 0.4731 0.9623  3 Zn 2.52-2.61, 4 Li 2.66-2.74
11 Zn 0.0328 0.4731 0.9623  3 Zn 2.52-2.61, 4 Li 2.66-2.74
12 Zn 0.8365 0.6635 0.6635  4 Zn 2.61, 4 Li 2.69-2.82
13 Sn 0.9065 0.0935 0.0935  9 Li 2.85-3.11, 4 Zn 2.90

Computed properties:
Energy of formation from the pure elements   -0.194 eV/atom
SG   Imm2, No. 44

YAlSe3 | GGA-PBE | optimized geometry

Lattice parameters (Å, degrees): 9.0248 9.0248 9.0248 60.00 60.00 60.00
With the nearest neighbours (Å) after each atom.
Positions (direct):
1 Y 0.6250 0.6250 0.6250  6 Se 3.03
2 Y 0.6250 0.1250 0.6250  6 Se 3.03
3 Y 0.1250 0.6250 0.6250  6 Se 3.03
4 Y 0.6250 0.6250 0.1250  6 Se 3.03
5 Al 0.1250 0.1250 0.1250  6 Se 2.54
6 Al 0.1250 0.6250 0.1250  6 Se 2.54
7 Al 0.6250 0.1250 0.1250  6 Se 2.54
8 Al 0.1250 0.1250 0.6250  6 Se 2.54
9 Se 0.7831 0.2169 0.2169  2 Al 2.54
10 Se 0.0331 0.4669 0.4669  2 Al 2.54
11 Se 0.4669 0.4669 0.0331  2 Al 2.54
12 Se 0.4669 0.0331 0.0331  2 Al 2.54
13 Se 0.0331 0.4669 0.0331  2 Al 2.54
14 Se 0.7831 0.2169 0.7831  2 Al 2.54
15 Se 0.4669 0.0331 0.4669  2 Al 2.54
16 Se 0.0331 0.0331 0.4669  2 Al 2.54
17 Se 0.2169 0.7831 0.2169  2 Al 2.54
18 Se 0.2169 0.7831 0.7831  2 Al 2.54
19 Se 0.2169 0.2169 0.7831  2 Al 2.54
20 Se 0.7831 0.7831 0.2169  2 Al 2.54

Computed properties:
Formation energy without anion corrections   -0.9194 eV per atom
E above lowest polymorph   451 meV/atom
SG   Fd-3m, No. 227

Ac2NpSbN5 | GGA-PBE | optimized geometry

Lattice parameters (Å, degrees): 3.6760 7.5791 12.0900 90.00 90.00 104.03
With the nearest neighbours (Å) after each atom.
Positions (direct):
1 Ac 0.8473 0.6946 0.8098  4 N 2.58-2.71
2 Ac 0.0660 0.1320 0.6371  4 N 2.57-2.61
3 Ac 0.1527 0.3054 0.3098  4 N 2.58-2.71
4 Ac 0.9340 0.8680 0.1371  4 N 2.57-2.61
5 Np 0.7748 0.5495 0.5400  2 N 1.87-1.96
6 Np 0.2252 0.4505 0.0400  2 N 1.87-1.96
7 Sb 0.5522 0.1043 0.9232  2 N 2.06-2.09
8 Sb 0.4478 0.8957 0.4232  2 N 2.06-2.09
9 N 0.3467 0.6934 0.9741  1 Np 1.96
10 N 0.6941 0.3882 0.9259  1 Sb 2.09
11 N 0.5023 0.0047 0.7642  1 Sb 2.06
12 N 0.2430 0.4860 0.6463  2 Np 2.29
13 N 0.8910 0.7819 0.6033  1 Np 1.87
14 N 0.6533 0.3066 0.4741  1 Np 1.96
15 N 0.3059 0.6118 0.4259  1 Sb 2.09
16 N 0.4977 0.9953 0.2642  1 Sb 2.06
17 N 0.7570 0.5140 0.1463  2 Np 2.29
18 N 0.1090 0.2181 0.1033  1 Np 1.87

Computed properties:
Formation energy without anion corrections   -0.7235 eV per atom
SG   Cmc2_1, No. 36

Cs2HAu | GGA-PBE | optimized geometry

Lattice parameters (Å, degrees): 8.6012 8.6012 7.6682 55.89 55.89 90.00
With the nearest neighbours (Å) after each atom.
Positions (direct):
1 Cs 0.5659 0.1250 0.2500  2 H 2.95
2 Cs 0.1841 0.6250 0.2500  2 H 2.95
3 Cs 0.3750 0.4341 0.7500  2 H 2.95
4 Cs 0.8750 0.8159 0.7500  2 H 2.95
5 H 0.5000 0.5000 0.0000  4 Cs 2.95
6 H 0.2500 0.7500 0.5000  4 Cs 2.95
7 Au 0.0000 0.0000 0.0000  4 Cs 3.61
8 Au 0.7500 0.2500 0.5000  4 Cs 3.61

Computed properties:
E above lowest polymorph   41 meV/atom
SG   I-42d, No. 122

Pm2Pd7 | GGA-PBE | optimized geometry

Lattice parameters (Å, degrees): 5.3885 5.3885 13.9213 78.84 78.84 60.00
With the nearest neighbours (Å) after each atom.
Positions (direct):
1 Pm 0.0488 0.0488 0.8537  12 Pd 3.13-3.35
2 Pm 0.9512 0.9512 0.1463  12 Pd 3.13-3.35
3 Pm 0.1465 0.1465 0.5604  9 Pd 3.04-3.22
4 Pm 0.8535 0.8535 0.4396  9 Pd 3.04-3.22
5 Pd 0.5000 0.5000 0.5000  6 Pd 2.72
6 Pd 0.2771 0.2771 0.1686  6 Pd 2.75-2.77
7 Pd 0.7229 0.7229 0.8314  6 Pd 2.75-2.77
8 Pd 0.3894 0.3894 0.8317  6 Pd 2.76-2.77
9 Pd 0.6106 0.6106 0.1683  6 Pd 2.76-2.77
10 Pd 0.5000 0.0000 0.0000  8 Pd 2.69-2.77
11 Pd 0.0000 0.5000 0.0000  8 Pd 2.69-2.77
12 Pd 0.5000 0.5000 0.0000  8 Pd 2.69-2.77
13 Pd 0.6136 0.6136 0.6635  7 Pd 2.67-2.77
14 Pd 0.6136 0.1093 0.6635  7 Pd 2.67-2.77
15 Pd 0.1093 0.6136 0.6635  7 Pd 2.67-2.77
16 Pd 0.3864 0.3864 0.3365  7 Pd 2.67-2.77
17 Pd 0.3864 0.8907 0.3365  7 Pd 2.67-2.77
18 Pd 0.8907 0.3864 0.3365  7 Pd 2.67-2.77

Computed properties:
Energy of formation from the pure elements   -0.643 eV/atom
SG   R-3m, No. 166

Ba8CuAg2 | GGA-PBE | optimized geometry

Lattice parameters (Å, degrees): 7.5490 8.9644 8.9644 111.21 100.49 100.49
With the nearest neighbours (Å) after each atom.
Positions (direct):
1 Ag 0.4828 0.6876 0.3212  6 Ba 3.37-3.57
2 Ag 0.4828 0.3212 0.6876  6 Ba 3.37-3.57
3 Ba 0.5891 0.3444 0.0781  2 Ag 3.37-3.40, 1 Cu 3.44
4 Ba 0.5891 0.0781 0.3444  2 Ag 3.37-3.40, 1 Cu 3.44
5 Ba 0.1752 0.3544 0.3544  1 Cu 3.54, 2 Ag 3.57
6 Ba 0.9764 0.1971 0.8014  1 Cu 3.44
7 Ba 0.9764 0.8014 0.1971  1 Cu 3.44
8 Ba 0.7892 0.6457 0.6457  2 Ag 3.55
9 Ba 0.3577 0.9279 0.6584  2 Ag 3.38-3.43, 1 Cu 3.42
10 Ba 0.3577 0.6584 0.9279  2 Ag 3.38-3.43, 1 Cu 3.42
11 Cu 0.2233 0.0177 0.0177  7 Ba 3.42-3.54

Computed properties:
Energy of formation from the pure elements   -0.029 eV/atom
E above lowest polymorph   10 meV/atom
SG   Cm, No. 8

SnTeIr | GGA-PBE | optimized geometry

Lattice parameters (Å, degrees): 4.0729 8.9479 6.3256 69.65 89.77 46.82
With the nearest neighbours (Å) after each atom.
Positions (direct):
1 Sn 0.9716 0.6770 0.5662  4 Ir 2.71-2.74
2 Sn 0.7202 0.1770 0.1459  3 Ir 2.66-2.68
3 Te 0.5036 0.6535 0.1053  2 Ir 2.65-2.72
4 Te 0.2145 0.1807 0.6241  3 Ir 2.61-2.65
5 Ir 0.8624 0.4159 0.8618  2 Te 2.61-2.65, 4 Sn 2.67-2.74, 1 Ir 2.91
6 Ir 0.1026 0.9221 0.6210  3 Te 2.65-2.72, 3 Sn 2.66-2.71, 1 Ir 2.91

Computed properties:
Formation energy without anion corrections   -0.1483 eV per atom
SG   P1, No. 1

AlFeTcMo2 | GGA-PBE | optimized geometry

Lattice parameters (Å, degrees): 4.4726 4.3515 4.4726 90.00 90.00 90.00
With the nearest neighbours (Å) after each atom.
Positions (direct):
1 Mo 0.0000 0.0000 0.5000  2 Al 2.24
2 Mo 0.5000 0.0000 0.0000  2 Al 2.24
3 Al 0.0000 0.0000 0.0000  2 Tc 2.18, 4 Mo 2.24
4 Tc 0.0000 0.5000 0.0000  2 Al 2.18
5 Fe 0.5000 0.5000 0.5000  8 Mo 3.12, 4 Tc 3.16

Computed properties:
Energy of formation from the pure elements   1.813 eV/atom
SG   P4/mmm, No. 123

It is found that the DFT total energy values, taken in the order of the records, are -6.89, -6.68, -7.44, -5.16, -8.46, -7.86, -10.81, -6.83, -4.08, -4.16, -3.65, -6.01, -2.02, -5.05, -8.16, -2.28, -5.74, -2.32, -5.48, -7.03 eV per atom.
It is found that the magnetization values, taken in the order of the records, are 0.00, 0.11, 0.60, 0.09, 1.21, 0.00, 0.00, 0.00, 1.09, 0.00, 0.00, 1.31, 0.00, 0.00, 0.03, 0.00, 0.00, 0.00, 0.00, 0.00 μB/atom.